Record 1
Material: PaAlOs
Method: DFT, GGA-PBE
State: relaxed

```
6
Lattice="4.2418 0.0000 0.0000 -2.1209 4.9217 0.0000 0.0000 0.0000 5.5435" Properties=species:S:1:pos:R:3 pbc="T T T"
Os 2.1209 3.9361 4.1577
Os 0.0000 0.9856 1.3859
Al 2.1209 0.0000 0.0000
Al 2.1209 0.0000 2.7718
Pa 0.0000 1.9922 4.1577
Pa 2.1209 2.9295 1.3859
```

## Properties
- Magnetic moment: 0.00 μB per cell
- Formation energy: -0.470 eV/atom
- Total DFT energy (no corrections): -8.6263 eV per atom
- Space group: Cmcm, No. 63


Record 2
Material: Pa2AlOs3
Method: DFT, GGA-PBE
State: relaxed

```
12
Lattice="-1.7498 2.3143 4.8431 3.2629 -4.6064 0.0894 6.3830 4.5240 0.1443" Properties=species:S:1:pos:R:3 pbc="T T T"
Pa 7.5635 1.9329 1.8090
Pa 2.7012 1.9778 3.3214
Pa 5.1949 0.2541 1.7555
Pa 0.3325 0.2990 3.2679
Os 4.7470 3.3968 1.7684
Os 2.4068 -0.0405 0.8889
Os 4.0073 -2.3001 0.9328
Os 3.8887 4.5320 4.1441
Os 3.1490 -1.1649 3.3085
Os 5.4892 2.2724 4.1880
Al 3.1915 2.2620 0.0722
Al 0.0000 0.0000 0.0000
```

## Properties
- Magnetic moment: 0.00 μB per cell
- Formation energy: -0.431 eV/atom
- Total DFT energy (no corrections): -9.8344 eV per atom
- Space group: P6_3/mmc, No. 194


Record 3
Material: PaAl2Os
Method: DFT, GGA-PBE
State: relaxed

```
4
Lattice="-3.1843 -2.0431 2.0092 0.6712 -1.7484 3.8527 -2.1520 2.8424 4.0464" Properties=species:S:1:pos:R:3 pbc="T T T"
Al -3.3520 -1.1704 7.1975
Al -1.3131 0.2214 2.7108
Os -2.3326 -0.4745 4.9541
Pa 0.0000 0.0000 0.0000
```

## Properties
- Magnetic moment: 0.00 μB per cell
- Formation energy: -0.194 eV/atom
- Offset from the most stable computed form: 1.14 eV/f.u.
- Total DFT energy (no corrections): -7.2467 eV per atom
- Space group: R-3m, No. 166


Record 4
Material: PaAl2Os
Method: DFT, GGA-PBE
State: relaxed

```
4
Lattice="3.0846 0.0000 0.0000 0.0000 3.0846 0.0000 0.0000 0.0000 7.3551" Properties=species:S:1:pos:R:3 pbc="T T T"
Al 0.0000 0.0000 5.9666
Al 0.0000 0.0000 1.3885
Os 1.5423 1.5423 0.0000
Pa 1.5423 1.5423 3.6775
```

## Properties
- Magnetic moment: 0.63 μB per cell
- Formation energy: -0.300 eV/atom
- Offset from the most stable computed form: 0.72 eV/f.u.
- Total DFT energy (no corrections): -7.3531 eV per atom
- Space group: P4/mmm, No. 123


Record 5
Material: PaAl4Os
Method: DFT, GGA-PBE
State: relaxed

```
12
Lattice="4.1804 0.0000 0.0000 0.0000 6.8698 0.0000 0.0000 0.0000 7.5777" Properties=species:S:1:pos:R:3 pbc="T T T"
Al 0.0000 0.0000 0.0000
Al 2.0902 2.1642 4.2699
Al 2.0902 0.2673 1.8944
Al 0.0000 0.0000 3.7889
Al 2.0902 4.7056 0.4810
Al 2.0902 4.7056 3.3079
Al 2.0902 6.6025 5.6833
Al 2.0902 2.1642 7.0967
Os 0.0000 5.3300 1.8944
Os 0.0000 1.5398 5.6833
Pa 0.0000 4.3191 5.6833
Pa 0.0000 2.5507 1.8944
```

## Properties
- Magnetic moment: 0.00 μB per cell
- Formation energy: -0.414 eV/atom
- Total DFT energy (no corrections): -6.3629 eV per atom
- Space group: Pmma, No. 51


Record 6
Material: PaAlOs
Method: DFT, GGA-PBE
State: relaxed

```
3
Lattice="3.3032 0.0000 0.0000 0.0000 4.4862 0.0000 0.0000 -2.2431 3.8852" Properties=species:S:1:pos:R:3 pbc="T T T"
Pa 2.2019 0.0000 2.5901
Os 0.5508 0.0000 0.0000
Al 0.5504 2.2431 1.2951
```

## Properties
- Magnetic moment: 0.00 μB per cell
- Formation energy: -0.326 eV/atom
- Total DFT energy (no corrections): -8.4817 eV per atom
- Space group: P-6m2, No. 187


Record 7
Material: PaAlOs
Method: DFT, GGA-PBE
State: relaxed

```
6
Lattice="-3.4241 -2.6467 -1.2296 4.1706 -1.6731 0.2182 -0.9784 -1.6269 6.2262" Properties=species:S:1:pos:R:3 pbc="T T T"
Al 0.7915 -3.4070 5.1293
Al -1.2509 -2.9181 1.5336
Os -1.7409 -3.7329 4.6519
Os 1.2799 -2.5949 2.0214
Pa -0.6032 -1.0031 3.8388
Pa -0.1140 -0.1896 0.7257
```

## Properties
- Magnetic moment: 0.00 μB per cell
- Formation energy: -0.401 eV/atom
- Total DFT energy (no corrections): -8.5570 eV per atom
- Space group: P6_3mc, No. 186


Record 8
Material: PaAlOsPd
Method: DFT, GGA-PBE
State: relaxed

```
4
Lattice="4.6991 0.0000 0.0000 2.3495 4.0695 0.0000 2.3495 1.3565 3.8368" Properties=species:S:1:pos:R:3 pbc="T T T"
Al 2.3495 1.3565 0.9592
Os 4.6991 2.7130 1.9184
Pa 7.0486 4.0695 2.8776
Pd 0.0000 0.0000 0.0000
```

## Properties
- Magnetic moment: 0.00 μB per cell
- Formation energy: -0.400 eV/atom
- Total DFT energy (no corrections): -7.8150 eV per atom
- Space group: F-43m, No. 216


Record 9
Material: Pm2PaAlOs2
Method: DFT, GGA-PBE
State: relaxed

```
12
Lattice="-4.0246 -3.8459 3.1018 5.2890 -2.7634 3.4361 -1.3270 7.8293 1.4394" Properties=species:S:1:pos:R:3 pbc="T T T"
Pa -0.6901 -2.6138 2.4100
Pa 1.9544 -3.9955 4.1280
Pm -0.8659 -2.8632 5.9299
Pm 0.9532 0.3178 5.6881
Pm -1.0159 0.9023 2.2893
Pm 0.8032 4.0832 2.0475
Al 3.9667 -2.0726 2.5771
Al 1.3222 -0.6909 0.8590
Os 1.5443 -1.4686 3.3417
Os 3.1200 3.2969 4.7487
Os -3.1827 -2.0768 3.2287
Os -1.6069 2.6886 4.6357
```

## Properties
- Magnetic moment: 0.00 μB per cell
- Formation energy: -0.278 eV/atom
- Total DFT energy (no corrections): -7.8115 eV per atom
- Space group: Ibam, No. 72


Record 10
Material: PaAlOsRh
Method: DFT, GGA-PBE
State: relaxed

```
4
Lattice="4.6569 0.0000 0.0000 2.3284 4.0330 0.0000 2.3284 1.3443 3.8023" Properties=species:S:1:pos:R:3 pbc="T T T"
Rh 0.0000 0.0000 0.0000
Pa 2.3284 1.3443 0.9506
Al 6.9853 4.0330 2.8518
Os 4.6569 2.6887 1.9012
```

## Properties
- Magnetic moment: 0.00 μB per cell
- Formation energy: -0.490 eV/atom
- Total DFT energy (no corrections): -8.4447 eV per atom
- Space group: F-43m, No. 216


Record 11
Material: PaAlOsRu
Method: DFT, GGA-PBE
State: relaxed

```
4
Lattice="4.6340 0.0000 0.0000 2.3170 4.0132 0.0000 2.3170 1.3377 3.7837" Properties=species:S:1:pos:R:3 pbc="T T T"
Al 4.6340 2.6755 1.8918
Ru 2.3170 1.3377 0.9459
Pa 0.0000 0.0000 0.0000
Os 6.9511 4.0132 2.8378
```

## Properties
- Magnetic moment: 0.00 μB per cell
- Formation energy: -0.406 eV/atom
- Total DFT energy (no corrections): -8.8422 eV per atom
- Space group: F-43m, No. 216


Record 12
Material: ScPaAlOs
Method: DFT, GGA-PBE
State: relaxed

```
4
Lattice="4.7243 0.0000 0.0000 2.3621 4.0914 0.0000 2.3621 1.3638 3.8574" Properties=species:S:1:pos:R:3 pbc="T T T"
Al 2.3621 1.3638 0.9643
Os 0.0000 0.0000 0.0000
Sc 4.7243 2.7276 1.9287
Pa 7.0864 4.0914 2.8930
```

## Properties
- Magnetic moment: 0.69 μB per cell
- Formation energy: -0.305 eV/atom
- Total DFT energy (no corrections): -8.0049 eV per atom
- Space group: F-43m, No. 216


- The highest magnetic moment belongs to which entry?
  ScPaAlOs


- The highest formation energy belongs to which entry?
  number 3


- Among the records above, which one has the highest total DFT energy (no corrections)?
  PaAl4Os


- Look up the total DFT energy (no corrections) of the ninth one.
  -7.8115 eV per atom